P:
The following is a DFT calculation (PBE-GGA) of a geometry-optimized AcTh2Ru structure.

a = 3.659 Å, b = 3.659 Å, c = 8.930 Å
α = 90.00°, β = 90.00°, γ = 90.00°
Fractional coordinates of all 4 atoms:
Ac 0.000 0.000 0.000
Th 0.500 0.500 0.318
Th 0.500 0.500 0.682
Ru 0.000 0.000 0.500

Computed properties:
* space-group type: P4/mmm (123)
* total moment: 0.0 μB/cell



Q:
The following is a DFT calculation (PBE-GGA) of a geometry-optimized AcTh2Ru structure.

a = 10.843 Å, b = 10.843 Å, c = 10.843 Å
α = 20.99°, β = 20.99°, γ = 20.99°
Fractional coordinates of all 4 atoms:
Ac 0.000 0.000 0.000
Th 0.116 0.116 0.116
Th 0.884 0.884 0.884
Ru 0.500 0.500 0.500

Computed properties:
* space-group type: R-3m (166)
* total moment: 0.0 μB/cell



R:
The following is a DFT calculation (PBE-GGA) of a geometry-optimized AcTh2Ru structure.

a = 9.697 Å, b = 9.697 Å, c = 9.697 Å
α = 24.13°, β = 24.13°, γ = 24.13°
Fractional coordinates of all 4 atoms:
Ac 0.000 0.000 0.000
Th 0.555 0.555 0.555
Th 0.777 0.777 0.777
Ru 0.165 0.165 0.165

Computed properties:
* space-group type: R3m (160)
* total moment: 0.0 μB/cell



Which structure is most stable? R, by 112 meV/atom over the runner-up.



P:
The following is a DFT calculation (PBE-GGA) of a geometry-optimized Ac3TlRu structure.

a = 5.706 Å, b = 5.706 Å, c = 5.706 Å
α = 90.00°, β = 90.00°, γ = 90.00°
Fractional coordinates of all 5 atoms:
Ac 0.000 0.000 0.500
Ac 0.000 0.500 0.000
Ac 0.500 0.000 0.000
Tl 0.500 0.500 0.500
Ru 0.000 0.000 0.000

Computed properties:
* space-group type: Pm-3m (221)
* total moment: 0.0 μB/cell



Q:
The following is a DFT calculation (PBE-GGA) of a geometry-optimized Ac3TlRu structure.

a = 10.298 Å, b = 4.284 Å, c = 16.253 Å
α = 90.00°, β = 90.00°, γ = 90.00°
Fractional coordinates of all 20 atoms:
Ac 0.021 0.250 0.107
Ac 0.168 0.250 0.502
Ac 0.222 0.750 0.286
Ac 0.278 0.250 0.786
Ac 0.332 0.750 0.002
Ac 0.479 0.750 0.607
Ac 0.521 0.250 0.393
Ac 0.668 0.250 0.998
Ac 0.722 0.750 0.214
Ac 0.778 0.250 0.714
Ac 0.832 0.750 0.498
Ac 0.979 0.750 0.893
Tl 0.056 0.750 0.673
Tl 0.444 0.250 0.173
Tl 0.556 0.750 0.827
Tl 0.944 0.250 0.327
Ru 0.166 0.250 0.940
Ru 0.334 0.750 0.440
Ru 0.666 0.250 0.560
Ru 0.834 0.750 0.060

Computed properties:
* space-group type: Pnma (62)
* total moment: 0.0 μB/cell



Which structure is most stable? Q, by 68 meV/atom over the runner-up.



P:
The following is a DFT calculation (PBE-GGA) of a geometry-optimized Ac5Tl2Ru2 structure.

a = 9.429 Å, b = 9.429 Å, c = 5.998 Å
α = 98.31°, β = 98.31°, γ = 35.94°
Fractional coordinates of all 9 atoms:
Ac 0.000 0.000 0.000
Ac 0.164 0.164 0.507
Ac 0.334 0.334 0.048
Ac 0.666 0.666 0.952
Ac 0.836 0.836 0.493
Tl 0.443 0.443 0.647
Tl 0.557 0.557 0.353
Ru 0.158 0.158 0.016
Ru 0.842 0.842 0.984

Computed properties:
* space-group type: C2/m (12)
* total moment: 0.0 μB/cell



Q:
The following is a DFT calculation (PBE-GGA) of a geometry-optimized Ac5Tl2Ru2 structure.

a = 9.628 Å, b = 9.628 Å, c = 8.362 Å
α = 90.00°, β = 90.00°, γ = 50.30°
Fractional coordinates of all 18 atoms:
Ac 0.000 0.000 0.000
Ac 0.049 0.723 0.664
Ac 0.223 0.549 0.164
Ac 0.277 0.951 0.664
Ac 0.451 0.777 0.164
Ac 0.500 0.500 0.500
Ac 0.549 0.223 0.836
Ac 0.723 0.049 0.336
Ac 0.777 0.451 0.836
Ac 0.951 0.277 0.336
Tl 0.217 0.217 0.000
Tl 0.283 0.283 0.500
Tl 0.717 0.717 0.500
Tl 0.783 0.783 0.000
Ru 0.136 0.864 0.363
Ru 0.364 0.636 0.863
Ru 0.636 0.364 0.137
Ru 0.864 0.136 0.637

Computed properties:
* space-group type: Cmce (64)
* total moment: 0.0 μB/cell



Which structure is most stable? Q, by 35 meV/atom over the runner-up.



P:
The following is a DFT calculation (PBE-GGA) of a geometry-optimized Ac8TlRu2 structure.

a = 8.254 Å, b = 8.254 Å, c = 6.914 Å
α = 92.60°, β = 92.60°, γ = 66.34°
Fractional coordinates of all 11 atoms:
Ac 0.073 0.632 0.323
Ac 0.119 0.119 0.191
Ac 0.368 0.927 0.677
Ac 0.369 0.369 0.893
Ac 0.631 0.631 0.107
Ac 0.632 0.073 0.323
Ac 0.881 0.881 0.809
Ac 0.927 0.368 0.677
Tl 0.500 0.500 0.500
Ru 0.279 0.279 0.487
Ru 0.721 0.721 0.513

Computed properties:
* space-group type: C2/m (12)
* total moment: 0.0 μB/cell



Q:
The following is a DFT calculation (PBE-GGA) of a geometry-optimized Ac8TlRu2 structure.

a = 8.679 Å, b = 8.679 Å, c = 6.155 Å
α = 97.73°, β = 97.73°, γ = 115.53°
Fractional coordinates of all 11 atoms:
Ac 0.000 0.000 0.000
Ac 0.052 0.312 0.634
Ac 0.147 0.634 0.199
Ac 0.312 0.052 0.634
Ac 0.470 0.729 0.765
Ac 0.634 0.147 0.199
Ac 0.729 0.470 0.765
Ac 0.782 0.782 0.400
Tl 0.391 0.391 0.199
Ru 0.103 0.678 0.699
Ru 0.678 0.103 0.699

Computed properties:
* space-group type: Cm (8)
* total moment: 0.0 μB/cell



Which structure is most stable? P, by 14 meV/atom over the runner-up.



P:
The following is a DFT calculation (PBE-GGA) of a geometry-optimized Ac5Tl2Ru structure.

a = 6.818 Å, b = 6.818 Å, c = 16.609 Å
α = 90.00°, β = 90.00°, γ = 126.82°
Fractional coordinates of all 16 atoms:
Ac 0.093 0.907 0.620
Ac 0.093 0.907 0.880
Ac 0.251 0.749 0.250
Ac 0.405 0.595 0.620
Ac 0.405 0.595 0.880
Ac 0.595 0.405 0.120
Ac 0.595 0.405 0.380
Ac 0.749 0.251 0.750
Ac 0.907 0.093 0.120
Ac 0.907 0.093 0.380
Tl 0.250 0.750 0.051
Tl 0.250 0.750 0.449
Tl 0.750 0.250 0.551
Tl 0.750 0.250 0.949
Ru 0.249 0.751 0.750
Ru 0.751 0.249 0.250

Computed properties:
* space-group type: Cmcm (63)
* total moment: 0.0 μB/cell



Q:
The following is a DFT calculation (PBE-GGA) of a geometry-optimized Ac5Tl2Ru structure.

a = 9.037 Å, b = 13.121 Å, c = 4.917 Å
α = 90.00°, β = 90.00°, γ = 90.00°
Fractional coordinates of all 16 atoms:
Ac 0.000 0.000 0.000
Ac 0.138 0.301 0.000
Ac 0.180 0.570 0.500
Ac 0.320 0.070 0.500
Ac 0.362 0.801 0.000
Ac 0.500 0.500 0.000
Ac 0.638 0.199 0.000
Ac 0.680 0.930 0.500
Ac 0.820 0.430 0.500
Ac 0.862 0.699 0.000
Tl 0.075 0.830 0.500
Tl 0.425 0.330 0.500
Tl 0.575 0.670 0.500
Tl 0.925 0.170 0.500
Ru 0.000 0.500 0.000
Ru 0.500 0.000 0.000

Computed properties:
* space-group type: Pbam (55)
* total moment: 0.0 μB/cell



Which structure is most stable? Q, by 148 meV/atom over the runner-up.



P:
The following is a DFT calculation (PBE-GGA) of a geometry-optimized AcYRu structure.

a = 4.996 Å, b = 4.996 Å, c = 4.996 Å
α = 60.00°, β = 60.00°, γ = 60.00°
Fractional coordinates of all 3 atoms:
Ac 0.000 0.000 0.000
Y 0.500 0.500 0.500
Ru 0.250 0.250 0.250

Computed properties:
* space-group type: F-43m (216)
* total moment: 0.0 μB/cell



Q:
The following is a DFT calculation (PBE-GGA) of a geometry-optimized AcYRu structure.

a = 6.799 Å, b = 7.094 Å, c = 9.991 Å
α = 90.00°, β = 128.45°, γ = 90.00°
Fractional coordinates of all 12 atoms:
Ac 0.159 0.075 0.391
Ac 0.159 0.425 0.891
Ac 0.841 0.575 0.109
Ac 0.841 0.925 0.609
Y 0.373 0.575 0.610
Y 0.373 0.925 0.110
Y 0.627 0.075 0.890
Y 0.627 0.425 0.390
Ru 0.336 0.737 0.337
Ru 0.336 0.763 0.837
Ru 0.664 0.237 0.163
Ru 0.664 0.263 0.663

Computed properties:
* space-group type: P2_1/c (14)
* total moment: 0.0 μB/cell



Which structure is most stable? Q, by 46 meV/atom over the runner-up.



P:
The following is a DFT calculation (PBE-GGA) of a geometry-optimized AcY2Ru structure.

a = 9.742 Å, b = 9.742 Å, c = 9.742 Å
α = 23.50°, β = 23.50°, γ = 23.50°
Fractional coordinates of all 4 atoms:
Ac 0.000 0.000 0.000
Y 0.220 0.220 0.220
Y 0.780 0.780 0.780
Ru 0.500 0.500 0.500

Computed properties:
* space-group type: R-3m (166)
* total moment: 0.0 μB/cell



Q:
The following is a DFT calculation (PBE-GGA) of a geometry-optimized AcY2Ru structure.

a = 3.529 Å, b = 3.529 Å, c = 9.341 Å
α = 90.00°, β = 90.00°, γ = 90.00°
Fractional coordinates of all 4 atoms:
Ac 0.000 0.000 0.000
Y 0.500 0.500 0.327
Y 0.500 0.500 0.673
Ru 0.000 0.000 0.500

Computed properties:
* space-group type: P4/mmm (123)
* total moment: 0.0 μB/cell



Which structure is most stable? Q, by 119 meV/atom over the runner-up.



P:
The following is a DFT calculation (PBE-GGA) of a geometry-optimized AcYRu2 structure.

a = 3.550 Å, b = 3.550 Å, c = 7.049 Å
α = 90.00°, β = 90.00°, γ = 90.00°
Fractional coordinates of all 4 atoms:
Ac 0.000 0.000 0.000
Y 0.000 0.000 0.500
Ru 0.500 0.500 0.261
Ru 0.500 0.500 0.739

Computed properties:
* space-group type: P4/mmm (123)
* total moment: 0.0 μB/cell



Q:
The following is a DFT calculation (PBE-GGA) of a geometry-optimized AcYRu2 structure.

a = 5.004 Å, b = 5.004 Å, c = 5.004 Å
α = 60.00°, β = 60.00°, γ = 60.00°
Fractional coordinates of all 4 atoms:
Ac 0.000 0.000 0.000
Y 0.500 0.500 0.500
Ru 0.250 0.250 0.250
Ru 0.750 0.750 0.750

Computed properties:
* space-group type: Fm-3m (225)
* total moment: 0.0 μB/cell



Which structure is most stable? Q, by 22 meV/atom over the runner-up.